# 1
A geometry-optimized Ba3NF2 structure. Source: the Alexandria database, functional PBE.

Properties
crystal system: monoclinic
spin magnetization: 0.00 μB per formula unit
VASP energy: -4.991 eV per atom
DOS at the Fermi energy: 2.13 states/eV/f.u.

Cell lengths 6.992, 12.103, 7.062 Å; angles 90.00, 109.30, 90.00 degrees
Space group C2/m (No. 12)
Unique sites:
Ba (0.229, 0.000, 0.236) [4 per cell]
Ba (0.249, 0.173, 0.767) [8 per cell]
N (0.000, 0.166, 0.000) [4 per cell]
F (0.000, 0.000, 0.500) [2 per cell]
F (0.000, 0.321, 0.500) [4 per cell]
F (0.000, 0.500, 0.000) [2 per cell]


# 2
A geometry-optimized BaNF3 structure. Source: the Alexandria database, functional PBE.

Properties
crystal system: cubic
ΔE to the lowest computed polymorph: 245 meV/atom
spin magnetization: 2.00 μB per formula unit
VASP energy: -4.273 eV per atom
DOS at the Fermi energy: 10.82 states/eV/f.u.

Cell lengths 5.062, 5.062, 5.062 Å; angles 90.00, 90.00, 90.00 degrees
Space group Pm-3m (No. 221)
Unique sites:
Ba (0.000, 0.000, 0.000) [1 per cell]
N (0.500, 0.500, 0.500) [1 per cell]
F (0.000, 0.000, 0.500) [3 per cell]


# 3
A geometry-optimized Ba4N2F3 structure. Source: the Alexandria database, functional PBE.

Properties
crystal system: monoclinic
spin magnetization: 1.03 μB per formula unit
VASP energy: -5.296 eV per atom
DOS at the Fermi energy: 5.21 states/eV/f.u.

Cell lengths 15.132, 4.207, 7.245 Å; angles 90.00, 112.10, 90.00 degrees
Space group C2/m (No. 12)
Unique sites:
Ba (0.134, 0.000, 0.311) [4 per cell]
Ba (0.149, 0.500, 0.824) [4 per cell]
N (0.236, 0.500, 0.256) [4 per cell]
F (0.000, 0.500, 0.500) [2 per cell]
F (0.061, 0.000, 0.892) [4 per cell]